Compound: KSr2Hg
Source: the Alexandria database
Functional: SCAN
Structure: single point on PBEsol structure

Cell: 3.991 3.991 10.835 Å, 90.00 90.00 90.00°
Space group P4/mmm (No. 123)
Symmetry-distinct sites (fractional):
K 0.000 0.000 0.000
Sr 0.500 0.500 0.328
Hg 0.000 0.000 0.500

E_tot ... -30.5979 eV/atom
Magnetic moment ... 0.01 μB per cell